No. 1
A plane-wave DFT calculation with PBE was carried out for a relaxed TiMoC2S crystal.

## Properties
The total energy is -6.73 eV/atom. Its symmetry is P4/mmm. As for the uncorrected formation energy: 1526 meV/atom.

abc: 3.9042 4.6579 3.9042
angles: 90.00 90.00 90.00
Closest atoms and distances in Å follow each position.
Atoms (fractional coordinates):
S1 0.0000 0.5000 0.0000  2 Ti 2.33
Ti1 0.0000 0.0000 0.0000  4 C 1.95
C1 0.5000 0.0000 0.0000  2 Ti 1.95
Mo1 0.5000 0.5000 0.5000  4 S 2.76, 8 C 3.04
C2 0.0000 0.0000 0.5000  2 Ti 1.95

No. 2
A plane-wave DFT calculation with PBE was carried out for a relaxed Sb2MoC crystal.

## Properties
The total energy is -5.94 eV/atom. Its symmetry is I-42d. As for the uncorrected formation energy: 1130 meV/atom.

abc: 6.1660 6.1660 6.1590
angles: 59.96 59.96 90.00
Closest atoms and distances in Å follow each position.
Atoms (fractional coordinates):
Sb1 0.8750 0.8083 0.7500  2 C 2.20
Sb2 0.1917 0.6250 0.2500  2 C 2.20
Mo1 0.0000 0.0000 0.0000  4 Sb 2.72
C1 0.2500 0.7500 0.5000  4 Sb 2.20
Sb3 0.5583 0.1250 0.2500  2 C 2.20
C2 0.5000 0.5000 0.0000  4 Sb 2.20
Mo2 0.7500 0.2500 0.5000  4 Sb 2.72
Sb4 0.3750 0.4417 0.7500  2 C 2.20

No. 3
A plane-wave DFT calculation with PBE was carried out for a relaxed Sb3MoC crystal.

## Properties
The total energy is -4.82 eV/atom. Its symmetry is Pm-3m. Its distance to the lowest polymorph of the same formula is 0.404 eV/atom. As for the uncorrected formation energy: 1667 meV/atom.

abc: 5.1957 5.1957 5.1957
angles: 90.00 90.00 90.00
Closest atoms and distances in Å follow each position.
Atoms (fractional coordinates):
Sb1 0.0000 0.5000 0.0000  2 Mo 2.60
Mo1 0.0000 0.0000 0.0000  6 Sb 2.60
Sb2 0.0000 0.0000 0.5000  2 Mo 2.60
Sb3 0.5000 0.0000 0.0000  2 Mo 2.60
C1 0.5000 0.5000 0.5000  12 Sb 3.67

No. 4
A plane-wave DFT calculation with PBE was carried out for a relaxed SbMoC2 crystal.

## Properties
The total energy is -7.34 eV/atom. Its symmetry is I-42d. As for the uncorrected formation energy: 1012 meV/atom.

abc: 5.0274 5.0274 6.1531
angles: 65.89 65.89 90.00
Closest atoms and distances in Å follow each position.
Atoms (fractional coordinates):
C1 0.5658 0.1250 0.2500  2 Mo 2.02
C2 0.8750 0.8158 0.7500  2 Mo 2.02
Mo1 0.2500 0.7500 0.5000  4 C 2.02
Sb1 0.7500 0.2500 0.5000  4 C 2.36
C3 0.1842 0.6250 0.2500  2 Mo 2.02
Mo2 0.5000 0.5000 0.0000  4 C 2.02
Sb2 0.0000 0.0000 0.0000  4 C 2.36
C4 0.3750 0.4342 0.7500  2 Mo 2.02

No. 5
A plane-wave DFT calculation with PBE was carried out for a relaxed Sb3MoC crystal.

## Properties
The total energy is -5.22 eV/atom. Its symmetry is Pm-3m. Its distance to the lowest polymorph of the same formula is 0.000 eV/atom. As for the uncorrected formation energy: 1263 meV/atom.

abc: 4.6660 4.6660 4.6660
angles: 90.00 90.00 90.00
Closest atoms and distances in Å follow each position.
Atoms (fractional coordinates):
C1 0.0000 0.0000 0.0000  6 Sb 2.33
Sb1 0.0000 0.0000 0.5000  2 C 2.33
Sb2 0.5000 0.0000 0.0000  2 C 2.33
Sb3 0.0000 0.5000 0.0000  2 C 2.33
Mo1 0.5000 0.5000 0.5000  12 Sb 3.30

No. 6
A plane-wave DFT calculation with PBE was carried out for a relaxed Sc2SbMoC crystal.

## Properties
The total energy is -7.83 eV/atom. Its symmetry is P4/mmm. As for the uncorrected formation energy: -462 meV/atom.

abc: 4.5674 4.5674 4.1340
angles: 90.00 90.00 90.00
Closest atoms and distances in Å follow each position.
Atoms (fractional coordinates):
Sc1 0.0000 0.5000 0.0000  2 C 2.28
Mo1 0.0000 0.0000 0.5000  2 C 2.07
Sc2 0.5000 0.0000 0.0000  2 C 2.28
Sb1 0.5000 0.5000 0.5000  8 Sc 3.08, 4 Mo 3.23
C1 0.0000 0.0000 0.0000  2 Mo 2.07, 4 Sc 2.28

No. 7
A plane-wave DFT calculation with PBE was carried out for a relaxed SiSbMoC2 crystal.

## Properties
The total energy is -6.30 eV/atom. Its symmetry is P4/mmm. As for the uncorrected formation energy: 1466 meV/atom.

abc: 4.0458 5.1911 4.0458
angles: 90.00 90.00 90.00
Closest atoms and distances in Å follow each position.
Atoms (fractional coordinates):
C1 0.0000 0.0000 0.5000  2 Mo 2.02
Mo1 0.0000 0.0000 0.0000  4 C 2.02
Sb1 0.5000 0.5000 0.5000  4 Si 2.86
C2 0.5000 0.0000 0.0000  2 Mo 2.02
Si1 0.0000 0.5000 0.0000  2 Mo 2.60, 4 Sb 2.86

No. 8
A plane-wave DFT calculation with PBE was carried out for a relaxed Sb2TeMoC crystal.

## Properties
The total energy is -5.02 eV/atom. Its symmetry is P4/mmm. Its distance to the lowest polymorph of the same formula is 0.000 eV/atom. As for the uncorrected formation energy: 1269 meV/atom.

abc: 4.6591 4.6591 4.6656
angles: 90.00 90.00 90.00
Closest atoms and distances in Å follow each position.
Atoms (fractional coordinates):
C1 0.0000 0.0000 0.0000  4 Sb 2.33, 2 Te 2.33
Sb1 0.0000 0.5000 0.0000  2 C 2.33
Te1 0.0000 0.0000 0.5000  2 C 2.33
Sb2 0.5000 0.0000 0.0000  2 C 2.33
Mo1 0.5000 0.5000 0.5000  4 Te 3.29, 8 Sb 3.30